(1)
BaZrTaMn2 | Alexandria via LeMat-Bulk | SCAN | single point on PBEsol structure; SG = P4/mmm; E_form = 2.3051 eV per atom; D(E_F) = 1.047 states/eV per atom; raw total energy = -1.189 hartree per atom; theoretical density = 7.69 Mg/m³
1.0
4.658 0.000 0.000
0.000 4.658 0.000
0.000 0.000 5.167
Ba Zr Ta Mn
1 1 1 2
Cartesian
0.000 0.000 0.000 Ba
0.000 0.000 2.584 Zr
2.329 2.329 2.584 Ta
0.000 2.329 0.000 Mn
2.329 0.000 0.000 Mn

---

(2)
BaMnTc2 | Alexandria via LeMat-Bulk | SCAN | single point on PBEsol structure; SG = Pmmm; E_form = 1.1980 eV per atom; D(E_F) = 1.007 states/eV per atom; raw total energy = -1.131 hartree per atom; theoretical density = 9.13 Mg/m³; excess energy over the best structure of this formula in the dataset = 29 meV per atom
1.0
3.066 0.000 0.000
0.000 4.747 0.000
0.000 0.000 4.851
Ba Mn Tc
1 1 2
Cartesian
0.000 0.000 0.000 Ba
1.533 0.000 2.426 Mn
0.000 2.374 2.426 Tc
1.533 2.374 0.000 Tc

---

What is the raw total energy in the first record?
-1.189 hartree per atom